No. 1
The following is a DFT calculation (PBE-GGA) of an optimized crystal structure of BaW2Se.

a = 10.218 Å, b = 10.218 Å, c = 10.218 Å
α = 17.40°, β = 17.40°, γ = 17.40°
Fractional coordinates of all 4 atoms:
1 Ba 0.250 0.250 0.250
2 Se 0.750 0.750 0.750
3 W 0.019 0.019 0.019
4 W 0.481 0.481 0.481

Values from the calculation:
- Raw formation energy: 1.10 eV/atom
- SG: R-3m
- M_tot: 0.000 μB/f.u.

=====

No. 2
The following is a DFT calculation (PBE-GGA) of an optimized crystal structure of BaW2Se.

a = 4.902 Å, b = 4.902 Å, c = 9.846 Å
α = 75.58°, β = 75.58°, γ = 90.00°
Fractional coordinates of all 8 atoms:
1 Se 0.500 0.500 0.000
2 Se 0.250 0.750 0.500
3 Ba 0.000 0.000 0.000
4 Ba 0.750 0.250 0.500
5 W 0.346 0.125 0.250
6 W 0.404 0.625 0.250
7 W 0.375 0.654 0.750
8 W 0.875 0.596 0.750

Values from the calculation:
- Raw formation energy: 0.86 eV/atom
- SG: I-42d
- M_tot: 0.000 μB/f.u.

=====

No. 3
The following is a DFT calculation (PBE-GGA) of an optimized crystal structure of BaY2Se.

a = 9.387 Å, b = 9.387 Å, c = 7.412 Å
α = 50.71°, β = 50.71°, γ = 90.00°
Last column: magnetic moment on the atom in μB.
Fractional coordinates of all 8 atoms:
1 Y 0.526 0.125 0.250  0.20
2 Y 0.224 0.625 0.250  0.19
3 Y 0.375 0.474 0.750  0.18
4 Y 0.875 0.776 0.750  0.18
5 Ba 0.000 0.000 0.000  0.03
6 Ba 0.750 0.250 0.500  0.03
7 Se 0.500 0.500 0.000  0.01
8 Se 0.250 0.750 0.500  0.01

Values from the calculation:
- Raw formation energy: -0.50 eV/atom
- SG: I-42d
- M_tot: 1.010 μB/f.u.

=====

No. 4
The following is a DFT calculation (PBE-GGA) of an optimized crystal structure of BaY6Se8.

a = 7.888 Å, b = 7.888 Å, c = 7.888 Å
α = 91.90°, β = 91.90°, γ = 91.90°
Last column: magnetic moment on the atom in μB.
Fractional coordinates of all 15 atoms:
1 Ba 0.000 0.000 0.000  0.01
2 Y 0.601 0.432 0.807  0.17
3 Y 0.432 0.807 0.601  0.17
4 Y 0.807 0.601 0.432  0.17
5 Y 0.399 0.568 0.193  0.17
6 Y 0.568 0.193 0.399  0.17
7 Y 0.193 0.399 0.568  0.17
8 Se 0.754 0.754 0.754  -0.01
9 Se 0.246 0.246 0.246  -0.01
10 Se 0.618 0.861 0.281  -0.01
11 Se 0.861 0.281 0.618  -0.01
12 Se 0.281 0.618 0.861  -0.01
13 Se 0.382 0.139 0.719  -0.01
14 Se 0.139 0.719 0.382  -0.01
15 Se 0.719 0.382 0.139  -0.01

Values from the calculation:
- Raw formation energy: -1.68 eV/atom
- SG: R-3
- M_tot: 1.882 μB/f.u.

=====

No. 5
The following is a DFT calculation (PBE-GGA) of an optimized crystal structure of Ba2YSe.

a = 11.633 Å, b = 11.633 Å, c = 8.676 Å
α = 47.90°, β = 47.90°, γ = 90.00°
Last column: magnetic moment on the atom in μB.
Fractional coordinates of all 8 atoms:
1 Y 0.000 0.000 0.000  0.10
2 Y 0.750 0.250 0.500  0.10
3 Ba 0.491 0.125 0.250  0.06
4 Ba 0.259 0.625 0.250  0.06
5 Ba 0.375 0.509 0.750  0.06
6 Ba 0.875 0.741 0.750  0.06
7 Se 0.500 0.500 0.000  0.00
8 Se 0.250 0.750 0.500  0.00

Values from the calculation:
- Raw formation energy: -0.59 eV/atom
- SG: I-42d
- M_tot: 0.688 μB/f.u.

=====

No. 6
The following is a DFT calculation (PBE-GGA) of an optimized crystal structure of BaY2Se.

a = 10.411 Å, b = 10.411 Å, c = 10.411 Å
α = 21.94°, β = 21.94°, γ = 21.94°
Fractional coordinates of all 4 atoms:
1 Ba 0.250 0.250 0.250
2 Se 0.750 0.750 0.750
3 Y 0.027 0.027 0.027
4 Y 0.473 0.473 0.473

Values from the calculation:
- Raw formation energy: -0.75 eV/atom
- SG: R-3m
- M_tot: 0.000 μB/f.u.

=====

No. 7
The following is a DFT calculation (PBE-GGA) of an optimized crystal structure of Ba2YSe.

a = 3.986 Å, b = 3.986 Å, c = 11.146 Å
α = 90.00°, β = 90.00°, γ = 111.42°
Fractional coordinates of all 4 atoms:
1 Ba 0.000 0.000 0.969
2 Ba 0.500 0.500 0.318
3 Se 0.000 0.000 0.528
4 Y 0.500 0.500 0.685

Values from the calculation:
- Raw formation energy: -0.66 eV/atom
- SG: Cmm2
- M_tot: 0.000 μB/f.u.

=====

No. 8
The following is a DFT calculation (PBE-GGA) of an optimized crystal structure of BaY2Se.

a = 6.901 Å, b = 6.901 Å, c = 3.896 Å
α = 73.28°, β = 73.28°, γ = 120.42°
Fractional coordinates of all 4 atoms:
1 Ba 0.500 0.000 0.500
2 Se 0.000 0.500 0.500
3 Y 0.000 0.000 0.000
4 Y 0.500 0.500 0.000

Values from the calculation:
- Raw formation energy: -0.34 eV/atom
- SG: C2/m
- M_tot: 0.001 μB/f.u.

=====

No. 9
The following is a DFT calculation (PBE-GGA) of an optimized crystal structure of BaY3Se.

a = 5.684 Å, b = 5.684 Å, c = 5.684 Å
α = 90.00°, β = 90.00°, γ = 90.00°
Fractional coordinates of all 5 atoms:
1 Y 0.000 0.500 0.000
2 Y 0.000 0.000 0.500
3 Y 0.500 0.000 0.000
4 Ba 0.000 0.000 0.000
5 Se 0.500 0.500 0.500

Values from the calculation:
- Raw formation energy: 1.05 eV/atom
- SG: Pm-3m
- M_tot: 0.000 μB/f.u.
- Distance to the lowest polymorph of the same formula: 1.4663 eV/atom

=====

No. 10
The following is a DFT calculation (PBE-GGA) of an optimized crystal structure of Ba2YSe.

a = 6.736 Å, b = 6.736 Å, c = 6.736 Å
α = 136.20°, β = 136.20°, γ = 63.67°
Last column: magnetic moment on the atom in μB.
Fractional coordinates of all 4 atoms:
1 Ba 0.000 0.000 0.000  0.13
2 Ba 0.500 0.500 0.000  0.13
3 Se 0.250 0.750 0.500  -0.01
4 Y 0.750 0.250 0.500  0.37

Values from the calculation:
- Raw formation energy: -0.23 eV/atom
- SG: I4/mmm
- M_tot: 1.337 μB/f.u.

=====

No. 11
The following is a DFT calculation (PBE-GGA) of an optimized crystal structure of BaYSe.

a = 5.192 Å, b = 5.192 Å, c = 5.192 Å
α = 60.00°, β = 60.00°, γ = 60.00°
Last column: magnetic moment on the atom in μB.
Fractional coordinates of all 3 atoms:
1 Ba 0.500 0.500 0.500  0.04
2 Se 0.750 0.750 0.750  0.00
3 Y 0.000 0.000 0.000  0.12

Values from the calculation:
- Raw formation energy: -0.67 eV/atom
- SG: F-43m
- M_tot: 0.279 μB/f.u.
- Distance to the lowest polymorph of the same formula: 0.3774 eV/atom

=====

No. 12
The following is a DFT calculation (PBE-GGA) of an optimized crystal structure of Ba2YSe.

a = 3.962 Å, b = 3.962 Å, c = 10.102 Å
α = 90.00°, β = 90.00°, γ = 90.00°
Last column: magnetic moment on the atom in μB.
Fractional coordinates of all 4 atoms:
1 Ba 0.000 0.000 0.949  0.10
2 Ba 0.500 0.500 0.304  -0.06
3 Se 0.000 0.000 0.575  0.00
4 Y 0.500 0.500 0.671  0.34

Values from the calculation:
- Raw formation energy: -0.67 eV/atom
- SG: P4mm
- M_tot: 0.821 μB/f.u.